No. 1
Density functional theory data (GGA-PBE) for a geometry-optimized PtPbWC2 structure.

The calculation puts the formation enthalpy at 0 K at 2.034 eV per atom. The total magnetic moment comes out at 1.681 μB per formula unit.

It has space group P4/mmm (No. 123), with a = 3.9348 Å, b = 3.9348 Å, c = 5.7544 Å, α = 90.00°, β = 90.00° and γ = 90.00°. Symmetry generates all atoms from Pt at (0.0000, 0.0000, 0.0000), Pb at (0.5000, 0.5000, 0.5000), W at (0.0000, 0.0000, 0.5000) and C at (0.0000, 0.5000, 0.0000).



No. 2
Density functional theory data (GGA-PBE) for a geometry-optimized PuPbC structure.

The calculation puts the formation enthalpy at 0 K at 0.147 eV per atom. The total magnetic moment comes out at 5.345 μB per formula unit.

It has space group Cmcm (No. 63), with a = 3.3874 Å, b = 23.3710 Å, c = 3.0206 Å, α = 90.00°, β = 90.00° and γ = 90.00°. Symmetry generates all atoms from Pu at (0.0000, 0.0673, 0.2500), Pb at (0.0000, 0.3123, 0.2500) and C at (0.0000, 0.4843, 0.2500).



No. 3
Density functional theory data (GGA-PBE) for a geometry-optimized Sm2PuPbC structure.

The calculation puts the formation enthalpy at 0 K at -0.341 eV per atom. The total magnetic moment comes out at 5.731 μB per formula unit.

It has space group P4/mmm (No. 123), with a = 5.1037 Å, b = 5.1037 Å, c = 4.7938 Å, α = 90.00°, β = 90.00° and γ = 90.00°. Symmetry generates all atoms from Sm at (0.0000, 0.5000, 0.0000), Pu at (0.0000, 0.0000, 0.5000), Pb at (0.5000, 0.5000, 0.5000) and C at (0.0000, 0.0000, 0.0000).



No. 4
Density functional theory data (GGA-PBE) for a geometry-optimized Tm2PuPbC structure.

The calculation puts the formation enthalpy at 0 K at -0.403 eV per atom. The total magnetic moment comes out at 5.767 μB per formula unit.

It has space group P4/mmm (No. 123), with a = 4.8837 Å, b = 4.8837 Å, c = 4.8213 Å, α = 90.00°, β = 90.00° and γ = 90.00°. Symmetry generates all atoms from Tm at (0.0000, 0.5000, 0.0000), Pu at (0.0000, 0.0000, 0.5000), Pb at (0.5000, 0.5000, 0.5000) and C at (0.0000, 0.0000, 0.0000).



No. 5
Density functional theory data (GGA-PBE) for a geometry-optimized Y2PuPbC structure.

The calculation puts the formation enthalpy at 0 K at -0.406 eV per atom. The total magnetic moment comes out at 5.798 μB per formula unit.

It has space group P4/mmm (No. 123), with a = 4.9714 Å, b = 4.9714 Å, c = 4.8280 Å, α = 90.00°, β = 90.00° and γ = 90.00°. Symmetry generates all atoms from Y at (0.0000, 0.5000, 0.0000), Pu at (0.0000, 0.0000, 0.5000), Pb at (0.5000, 0.5000, 0.5000) and C at (0.0000, 0.0000, 0.0000).



No. 6
Density functional theory data (GGA-PBE) for a geometry-optimized Rb2PbC structure.

The calculation puts the formation enthalpy at 0 K at 0.933 eV per atom. The total magnetic moment comes out at 0.000 μB per formula unit. For the distance to the lowest polymorph of the same formula, the calculation gives 0.000 eV per atom.

It has space group I-42d (No. 122), with a = 12.7418 Å, b = 12.7418 Å, c = 4.6238 Å, α = 90.00°, β = 90.00° and γ = 90.00°. Symmetry generates all atoms from Rb at (0.0465, 0.7500, 0.1250), Pb at (0.0000, 0.0000, 0.5000) and C at (0.0000, 0.0000, 0.0000).